Record 1
# TlSnTe3Au

TlSnTe3Au after structural relaxation (GGA-PBE, OQMD).

As for the energy above the most stable polymorph in this dataset: 0.0 kJ/mol of atoms.

The structure in POSCAR format:
```
TlSnTe3Au
1.0
9.9229 0.0000 0.0000
0.0000 4.3969 0.0000
0.0000 0.0000 16.9307
Tl Sn Te Au
4 4 12 4
direct
0.1002 0.2500 0.2127
0.3998 0.7500 0.7127
0.6002 0.2500 0.2873
0.8998 0.7500 0.7873
0.1723 0.7500 0.4473
0.3277 0.2500 0.9473
0.6723 0.7500 0.0527
0.8277 0.2500 0.5527
0.0211 0.7500 0.6094
0.1364 0.2500 0.8112
0.1558 0.7500 0.0200
0.3442 0.2500 0.5200
0.3636 0.7500 0.3112
0.4789 0.2500 0.1094
0.5211 0.7500 0.8906
0.6364 0.2500 0.6888
0.6558 0.7500 0.4800
0.8442 0.2500 0.9800
0.8636 0.7500 0.1888
0.9789 0.2500 0.3906
0.2111 0.2500 0.6582
0.2889 0.7500 0.1582
0.7111 0.2500 0.8418
0.7889 0.7500 0.3418
```

***

Record 2
# Pr2GdTl2Cd4

Pr2GdTl2Cd4 after structural relaxation (GGA-PBE, OQMD).

The calculated total energy comes out at -2.8700 eV/atom.

The structure in POSCAR format:
```
Pr2GdTl2Cd4
1.0
4.6716 0.0000 0.0000
0.0000 6.6294 3.8758
0.0000 -6.6294 3.8758
Pr Gd Tl Cd
2 1 2 4
direct
0.0000 0.2108 0.7892
0.0000 0.7892 0.2108
0.0000 0.6337 0.6337
0.5000 0.5473 0.8747
0.5000 0.8747 0.5473
0.0000 0.2189 0.2189
0.5000 0.2123 0.4511
0.5000 0.4511 0.2123
0.5000 0.9756 0.9756
```

***

Record 3
# Li2HfMgIn2Pd2

Li2HfMgIn2Pd2 after structural relaxation (GGA-PBE, OQMD).

The calculated total energy comes out at -4.4005 eV/atom.

The structure in POSCAR format:
```
Li2HfMgIn2Pd2
1.0
4.6287 0.0000 0.0000
0.0000 4.6287 0.0000
0.0000 0.0000 6.4764
Li Hf Mg In Pd
2 1 1 2 2
direct
0.0000 0.5000 0.2331
0.5000 0.0000 0.7669
0.0000 0.0000 0.5000
0.5000 0.5000 0.0000
0.0000 0.0000 0.0000
0.5000 0.5000 0.5000
0.0000 0.5000 0.7394
0.5000 0.0000 0.2606
```

***

Record 4
# AcBePt

AcBePt after structural relaxation (GGA-PBE, OQMD).

As for the energy above the most stable polymorph in this dataset: 0.0 kJ/mol of atoms.

The structure in POSCAR format:
```
AcBePt
1.0
6.7930 0.0000 0.0000
0.0000 6.7930 0.0000
0.0000 0.0000 6.7930
Ac Be Pt
4 4 4
direct
0.0000 0.0000 0.0000
0.0000 0.5000 0.5000
0.5000 0.0000 0.5000
0.5000 0.5000 0.0000
0.0000 0.0000 0.5000
0.0000 0.5000 0.0000
0.5000 0.0000 0.0000
0.5000 0.5000 0.5000
0.2500 0.2500 0.2500
0.2500 0.7500 0.7500
0.7500 0.2500 0.7500
0.7500 0.7500 0.2500
```

***

Record 5
# Ho4Cu3Pd

Ho4Cu3Pd after structural relaxation (GGA-PBE, OQMD).

The formation energy is -0.4451 eV/atom.

The structure in POSCAR format:
```
Ho4Cu3Pd
1.0
5.4056 0.0000 0.0000
0.0000 4.4673 0.0000
-0.0148 0.0000 7.0754
Ho Cu Pd
4 3 1
direct
0.0000 0.0000 0.0000
0.2295 0.0000 0.5010
0.4997 0.5000 0.1373
0.7305 0.5000 0.6362
0.5020 0.0000 0.8555
0.7373 0.0000 0.3516
0.9913 0.5000 0.2853
0.2263 0.5000 0.7828
```

***

Record 6
# PrYCu2Pb2

PrYCu2Pb2 after structural relaxation (GGA-PBE, OQMD).

The calculated total energy comes out at -4.7553 eV/atom.

The structure in POSCAR format:
```
PrYCu2Pb2
1.0
4.6528 0.0000 0.0000
-2.3264 4.0294 0.0000
0.0000 0.0000 7.5633
Pr Y Cu Pb
1 1 2 2
direct
0.0000 0.0000 0.0000
0.0000 0.0000 0.4991
0.3333 0.6667 0.7955
0.6667 0.3333 0.3248
0.3333 0.6667 0.2391
0.6667 0.3333 0.7220
```